(1)
# AlPbIBr4

A relaxed structure of AlPbIBr4 (GGA-PBE, Alexandria via LeMat-Bulk).

```
data_AlPbIBr4
_cell_length_a 8.3395
_cell_length_b 8.3395
_cell_length_c 9.6995
_cell_angle_alpha 79.12
_cell_angle_beta 79.12
_cell_angle_gamma 69.62
_space_group_name_H-M_alt 'P 1'
_space_group_IT_number 1
loop_
_space_group_symop_operation_xyz
'x,y,z'
loop_
_atom_site_label
_atom_site_type_symbol
_atom_site_fract_x
_atom_site_fract_y
_atom_site_fract_z
_atom_site_occupancy
Br1 Br 0.4790 0.4790 0.8026 1
Br2 Br 0.5210 0.5210 0.1974 1
Br3 Br 0.7078 0.7078 0.4887 1
Br4 Br 0.0840 0.4649 0.1726 1
Br5 Br 0.9160 0.5351 0.8274 1
Br6 Br 0.2922 0.2922 0.5113 1
Br7 Br 0.5351 0.9160 0.8274 1
Br8 Br 0.4649 0.0840 0.1726 1
Al1 Al 0.6496 0.6496 0.7280 1
Al2 Al 0.3504 0.3504 0.2720 1
I1 I 0.9926 0.9926 0.2211 1
I2 I 0.0074 0.0074 0.7789 1
Pb1 Pb 0.1647 0.1647 0.9671 1
Pb2 Pb 0.8353 0.8353 0.0329 1
```

Computed properties:
Spin magnetization, μB per cell: 0.0
Formation energy without anion corrections, eV/atom: -0.931
Density, g/cm³: 3.67
Crystal system: monoclinic

=====

(2)
# DyMg6Ag2

A relaxed structure of DyMg6Ag2 (GGA-PBE, Alexandria via LeMat-Bulk).

```
data_DyMg6Ag2
_cell_length_a 4.9097
_cell_length_b 6.8974
_cell_length_c 6.8974
_cell_angle_alpha 82.80
_cell_angle_beta 70.02
_cell_angle_gamma 70.02
_space_group_name_H-M_alt 'P 1'
_space_group_IT_number 1
loop_
_space_group_symop_operation_xyz
'x,y,z'
loop_
_atom_site_label
_atom_site_type_symbol
_atom_site_fract_x
_atom_site_fract_y
_atom_site_fract_z
_atom_site_occupancy
Mg1 Mg 0.1832 0.4849 0.1489 1
Mg2 Mg 0.5000 0.7539 0.2461 1
Mg3 Mg 0.1832 0.1489 0.4849 1
Mg4 Mg 0.5000 0.2461 0.7539 1
Mg5 Mg 0.8168 0.8511 0.5151 1
Mg6 Mg 0.8168 0.5151 0.8511 1
Dy1 Dy 0.0000 0.0000 0.0000 1
Ag1 Ag 0.3223 0.6762 0.6762 1
Ag2 Ag 0.6777 0.3238 0.3238 1
```

Computed properties:
Spin magnetization, μB per cell: 0.0
Formation energy, eV per atom: -0.0620
Excess energy over the best structure of this formula in the dataset, meV per atom: 43
Density, g/cm³: 4.22
Crystal system: monoclinic

=====

(3)
# Fe2Cu2Pt

A relaxed structure of Fe2Cu2Pt (GGA-PBE, Alexandria via LeMat-Bulk).

```
data_Fe2Cu2Pt
_cell_length_a 6.9538
_cell_length_b 6.9538
_cell_length_c 2.7108
_cell_angle_alpha 90.00
_cell_angle_beta 90.00
_cell_angle_gamma 90.00
_space_group_name_H-M_alt 'P 1'
_space_group_IT_number 1
loop_
_space_group_symop_operation_xyz
'x,y,z'
loop_
_atom_site_label
_atom_site_type_symbol
_atom_site_fract_x
_atom_site_fract_y
_atom_site_fract_z
_atom_site_occupancy
Cu1 Cu 0.6760 0.8240 0.5000 1
Cu2 Cu 0.1760 0.6760 0.5000 1
Cu3 Cu 0.8240 0.3240 0.5000 1
Cu4 Cu 0.3240 0.1760 0.5000 1
Fe1 Fe 0.8809 0.6191 0.0000 1
Fe2 Fe 0.6191 0.1191 0.0000 1
Fe3 Fe 0.1191 0.3809 0.0000 1
Fe4 Fe 0.3809 0.8809 0.0000 1
Pt1 Pt 0.0000 0.0000 0.0000 1
Pt2 Pt 0.5000 0.5000 0.0000 1
```

Computed properties:
Spin magnetization, μB per cell: 11.8
Formation energy, eV per atom: 0.2140
Excess energy over the best structure of this formula in the dataset, meV per atom: 72
Density, g/cm³: 10.99
Crystal system: tetragonal

=====

(4)
# CoTcHg2

A relaxed structure of CoTcHg2 (GGA-PBE, Alexandria via LeMat-Bulk).

```
data_CoTcHg2
_cell_length_a 2.8566
_cell_length_b 2.8931
_cell_length_c 8.5104
_cell_angle_alpha 79.67
_cell_angle_beta 90.00
_cell_angle_gamma 90.00
_space_group_name_H-M_alt 'P 1'
_space_group_IT_number 1
loop_
_space_group_symop_operation_xyz
'x,y,z'
loop_
_atom_site_label
_atom_site_type_symbol
_atom_site_fract_x
_atom_site_fract_y
_atom_site_fract_z
_atom_site_occupancy
Hg1 Hg 0.5000 0.0551 0.2835 1
Hg2 Hg 0.0000 0.2027 0.9539 1
Co1 Co 0.5000 0.8264 0.7163 1
Tc1 Tc 0.0000 0.4158 0.5463 1
```

Computed properties:
Spin magnetization, μB per cell: 0.0
Formation energy, eV per atom: 0.3332
Excess energy over the best structure of this formula in the dataset, meV per atom: 0
Density, g/cm³: 13.39
Crystal system: monoclinic

=====

(5)
# Rb2TlHgF6

A relaxed structure of Rb2TlHgF6 (GGA-PBE, Alexandria via LeMat-Bulk).

```
data_Rb2TlHgF6
_cell_length_a 6.6073
_cell_length_b 6.6073
_cell_length_c 6.6073
_cell_angle_alpha 60.00
_cell_angle_beta 60.00
_cell_angle_gamma 60.00
_space_group_name_H-M_alt 'P 1'
_space_group_IT_number 1
loop_
_space_group_symop_operation_xyz
'x,y,z'
loop_
_atom_site_label
_atom_site_type_symbol
_atom_site_fract_x
_atom_site_fract_y
_atom_site_fract_z
_atom_site_occupancy
F1 F 0.7497 0.2503 0.2503 1
F2 F 0.2503 0.7497 0.2503 1
F3 F 0.7497 0.2503 0.7497 1
F4 F 0.2503 0.7497 0.7497 1
F5 F 0.2503 0.2503 0.7497 1
F6 F 0.7497 0.7497 0.2503 1
Hg1 Hg 0.5000 0.5000 0.5000 1
Rb1 Rb 0.2500 0.2500 0.2500 1
Rb2 Rb 0.7500 0.7500 0.7500 1
Tl1 Tl 0.0000 0.0000 0.0000 1
```

Computed properties:
Spin magnetization, μB per cell: 0.0
Formation energy without anion corrections, eV/atom: -2.080
Density, g/cm³: 5.62
Crystal system: cubic

=====

(6)
# ErPuGa2Au5

A relaxed structure of ErPuGa2Au5 (GGA-PBE, Alexandria via LeMat-Bulk).

```
data_ErPuGa2Au5
_cell_length_a 4.4365
_cell_length_b 4.4365
_cell_length_c 9.4542
_cell_angle_alpha 90.00
_cell_angle_beta 90.00
_cell_angle_gamma 90.00
_space_group_name_H-M_alt 'P 1'
_space_group_IT_number 1
loop_
_space_group_symop_operation_xyz
'x,y,z'
loop_
_atom_site_label
_atom_site_type_symbol
_atom_site_fract_x
_atom_site_fract_y
_atom_site_fract_z
_atom_site_occupancy
Au1 Au 0.0000 0.5000 0.7340 1
Au2 Au 0.0000 0.5000 0.2660 1
Au3 Au 0.5000 0.0000 0.2660 1
Au4 Au 0.5000 0.0000 0.7340 1
Au5 Au 0.5000 0.5000 0.5000 1
Er1 Er 0.0000 0.0000 0.0000 1
Pu1 Pu 0.0000 0.0000 0.5000 1
Ga1 Ga 0.5000 0.5000 0.8725 1
Ga2 Ga 0.5000 0.5000 0.1275 1
```

Computed properties:
Spin magnetization, μB per cell: 5.6
Formation energy, eV per atom: -0.3767
Density, g/cm³: 13.70
Crystal system: tetragonal

=====

(7)
# K2Pu2TaSe6

A relaxed structure of K2Pu2TaSe6 (GGA-PBE, Alexandria via LeMat-Bulk).

```
data_K2Pu2TaSe6
_cell_length_a 6.9851
_cell_length_b 6.9851
_cell_length_c 8.2303
_cell_angle_alpha 98.60
_cell_angle_beta 98.60
_cell_angle_gamma 119.38
_space_group_name_H-M_alt 'P 1'
_space_group_IT_number 1
loop_
_space_group_symop_operation_xyz
'x,y,z'
loop_
_atom_site_label
_atom_site_type_symbol
_atom_site_fract_x
_atom_site_fract_y
_atom_site_fract_z
_atom_site_occupancy
Pu1 Pu 0.6669 0.3331 0.5000 1
Pu2 Pu 0.3331 0.6669 0.5000 1
Ta1 Ta 0.0000 0.0000 0.5000 1
Se1 Se 0.0709 0.3773 0.6988 1
Se2 Se 0.9291 0.6227 0.3012 1
Se3 Se 0.7625 0.7625 0.6975 1
Se4 Se 0.6227 0.9291 0.3012 1
Se5 Se 0.2375 0.2375 0.3025 1
Se6 Se 0.3773 0.0709 0.6988 1
K1 K 0.1724 0.8276 0.0000 1
K2 K 0.8276 0.1724 0.0000 1
```

Computed properties:
Spin magnetization, μB per cell: 11.0
Formation energy without anion corrections, eV/atom: -1.237
Density, g/cm³: 6.07
Crystal system: monoclinic

=====

(8)
# CsVAs2Se

A relaxed structure of CsVAs2Se (GGA-PBE, Alexandria via LeMat-Bulk).

```
data_CsVAs2Se
_cell_length_a 5.6840
_cell_length_b 5.6840
_cell_length_c 5.4564
_cell_angle_alpha 90.00
_cell_angle_beta 90.00
_cell_angle_gamma 90.00
_space_group_name_H-M_alt 'P 1'
_space_group_IT_number 1
loop_
_space_group_symop_operation_xyz
'x,y,z'
loop_
_atom_site_label
_atom_site_type_symbol
_atom_site_fract_x
_atom_site_fract_y
_atom_site_fract_z
_atom_site_occupancy
As1 As 0.0000 0.5000 0.0000 1
As2 As 0.5000 0.0000 0.0000 1
V1 V 0.5000 0.5000 0.5000 1
Se1 Se 0.0000 0.0000 0.5000 1
Cs1 Cs 0.0000 0.0000 0.0000 1
```

Computed properties:
Spin magnetization, μB per cell: 0.5
Formation energy without anion corrections, eV/atom: 2.121
Density, g/cm³: 3.89
Crystal system: tetragonal

=====

(9)
# YMo3S

A relaxed structure of YMo3S (GGA-PBE, Alexandria via LeMat-Bulk).

```
data_YMo3S
_cell_length_a 4.8642
_cell_length_b 4.8642
_cell_length_c 4.8642
_cell_angle_alpha 90.00
_cell_angle_beta 90.00
_cell_angle_gamma 90.00
_space_group_name_H-M_alt 'P 1'
_space_group_IT_number 1
loop_
_space_group_symop_operation_xyz
'x,y,z'
loop_
_atom_site_label
_atom_site_type_symbol
_atom_site_fract_x
_atom_site_fract_y
_atom_site_fract_z
_atom_site_occupancy
S1 S 0.5000 0.5000 0.5000 1
Mo1 Mo 0.0000 0.0000 0.5000 1
Mo2 Mo 0.0000 0.5000 0.0000 1
Mo3 Mo 0.5000 0.0000 0.0000 1
Y1 Y 0.0000 0.0000 0.0000 1
```

Computed properties:
Spin magnetization, μB per cell: 0.0
Excess energy over the best structure of this formula in the dataset, meV per atom: 2556
Formation energy without anion corrections, eV/atom: 2.752
Density, g/cm³: 5.90
Crystal system: cubic

=====

(10)
# CsTeOsO6

A relaxed structure of CsTeOsO6 (GGA-PBE, Alexandria via LeMat-Bulk).

```
data_CsTeOsO6
_cell_length_a 7.2638
_cell_length_b 7.4098
_cell_length_c 7.3376
_cell_angle_alpha 120.33
_cell_angle_beta 119.67
_cell_angle_gamma 90.00
_space_group_name_H-M_alt 'P 1'
_space_group_IT_number 1
loop_
_space_group_symop_operation_xyz
'x,y,z'
loop_
_atom_site_label
_atom_site_type_symbol
_atom_site_fract_x
_atom_site_fract_y
_atom_site_fract_z
_atom_site_occupancy
O1 O 0.2045 0.9545 0.4090 1
O2 O 0.8266 0.6794 0.2448 1
O3 O 0.4181 0.6794 0.2448 1
O4 O 0.4181 0.0654 0.2448 1
O5 O 0.1734 0.9346 0.7552 1
O6 O 0.5819 0.9346 0.7552 1
O7 O 0.4260 0.6760 0.8520 1
O8 O 0.5740 0.3240 0.1480 1
O9 O 0.8266 0.0654 0.2448 1
O10 O 0.7955 0.0455 0.5910 1
O11 O 0.5819 0.3206 0.7552 1
O12 O 0.1734 0.3206 0.7552 1
Cs1 Cs 0.8814 0.6314 0.7627 1
Cs2 Cs 0.1186 0.3686 0.2373 1
Te1 Te 0.5000 0.5000 0.0000 1
Te2 Te 0.5000 0.0000 0.0000 1
Os1 Os 0.5000 0.0000 0.5000 1
Os2 Os 0.0000 0.0000 0.5000 1
```

Computed properties:
Spin magnetization, μB per cell: 0.8
Formation energy without anion corrections, eV/atom: -1.169
Density, g/cm³: 6.50
Crystal system: orthorhombic

=====

(11)
# HoGa5

A relaxed structure of HoGa5 (GGA-PBE, Alexandria via LeMat-Bulk).

```
data_HoGa5
_cell_length_a 4.3253
_cell_length_b 5.6358
_cell_length_c 5.6358
_cell_angle_alpha 120.00
_cell_angle_beta 90.00
_cell_angle_gamma 90.00
_space_group_name_H-M_alt 'P 1'
_space_group_IT_number 1
loop_
_space_group_symop_operation_xyz
'x,y,z'
loop_
_atom_site_label
_atom_site_type_symbol
_atom_site_fract_x
_atom_site_fract_y
_atom_site_fract_z
_atom_site_occupancy
Ho1 Ho 0.5000 0.0000 0.0000 1
Ga1 Ga 0.0000 0.3891 0.0000 1
Ga2 Ga 0.0000 0.0000 0.3891 1
Ga3 Ga 0.0000 0.6109 0.6109 1
Ga4 Ga 0.5000 0.6667 0.3333 1
Ga5 Ga 0.5000 0.3333 0.6667 1
```

Computed properties:
Spin magnetization, μB per cell: 0.0
Formation energy, eV per atom: -0.1794
Excess energy over the best structure of this formula in the dataset, meV per atom: 108
Density, g/cm³: 7.17
Crystal system: hexagonal

=====

(12)
# PmTcGe2Os

A relaxed structure of PmTcGe2Os (GGA-PBE, Alexandria via LeMat-Bulk).

```
data_PmTcGe2Os
_cell_length_a 4.2435
_cell_length_b 4.2435
_cell_length_c 5.9827
_cell_angle_alpha 110.77
_cell_angle_beta 110.77
_cell_angle_gamma 90.00
_space_group_name_H-M_alt 'P 1'
_space_group_IT_number 1
loop_
_space_group_symop_operation_xyz
'x,y,z'
loop_
_atom_site_label
_atom_site_type_symbol
_atom_site_fract_x
_atom_site_fract_y
_atom_site_fract_z
_atom_site_occupancy
Ge1 Ge 0.6259 0.6259 0.2518 1
Ge2 Ge 0.3741 0.3741 0.7482 1
Tc1 Tc 0.7500 0.2500 0.5000 1
Pm1 Pm 0.0000 0.0000 0.0000 1
Os1 Os 0.2500 0.7500 0.5000 1
```

Computed properties:
Spin magnetization, μB per cell: 0.0
Formation energy, eV per atom: -0.4041
Density, g/cm³: 10.31
Crystal system: tetragonal

=====

> Which of these has the highest density?

ErPuGa2Au5